# Ba2ZrZn (PBE, optimized geometry)
# E_tot in eV per atom: -3.2516
# Volume in Å³ per atom: 35.41
# N(E_F) in states/eV per atom: 1.522
# ΔE_f in eV per atom: 0.165
data_Ba2ZrZn
_cell_length_a 3.7624
_cell_length_b 3.7624
_cell_length_c 10.0053
_cell_angle_alpha 90.00
_cell_angle_beta 90.00
_cell_angle_gamma 90.00
_space_group_name_H-M_alt 'P 4 m m'
_space_group_IT_number 99
loop_
_space_group_symop_operation_xyz
'x,y,z'
'-y,x,z'
'-x,-y,z'
'y,-x,z'
'-x,y,z'
'y,x,z'
'x,-y,z'
'-y,-x,z'
loop_
_atom_site_label
_atom_site_fract_x
_atom_site_fract_y
_atom_site_fract_z
Ba1 0.0000 0.0000 0.0000
Ba2 0.5000 0.5000 0.3827
Zr1 0.5000 0.5000 0.7305
Zn1 0.0000 0.0000 0.6205

=====

# BaZrZn (PBE, optimized geometry)
# E_tot in eV per atom: -3.7673
# Polymorph energy (0 for the lowest one) in meV/atom: 186
# Volume in Å³ per atom: 33.72
# N(E_F) in states/eV per atom: 1.022
# ΔE_f in eV per atom: 0.148
data_BaZrZn
_cell_length_a 4.1913
_cell_length_b 4.1923
_cell_length_c 11.5131
_cell_angle_alpha 89.92
_cell_angle_beta 89.97
_cell_angle_gamma 89.93
_space_group_name_H-M_alt 'P 1'
_space_group_IT_number 1
loop_
_space_group_symop_operation_xyz
'x,y,z'
loop_
_atom_site_label
_atom_site_fract_x
_atom_site_fract_y
_atom_site_fract_z
Ba1 0.0000 0.0000 0.0000
Ba2 0.4992 0.5009 0.6830
Zr1 0.0002 0.9997 0.2950
Zr2 0.5002 0.5000 0.2471
Zn1 0.9996 0.4990 0.4475
Zn2 0.4997 0.0003 0.4475

=====

# Ba2ZrZn (PBE, optimized geometry)
# E_tot in eV per atom: -2.8845
# Volume in Å³ per atom: 32.97
# N(E_F) in states/eV per atom: 1.175
# ΔE_f in eV per atom: 0.532
data_Ba2ZrZn
_cell_length_a 5.0435
_cell_length_b 5.0435
_cell_length_c 10.3705
_cell_angle_alpha 90.00
_cell_angle_beta 90.00
_cell_angle_gamma 90.00
_space_group_name_H-M_alt 'I 4/m m m'
_space_group_IT_number 139
_space_group_name_Hall '-I 4 2'
loop_
_atom_site_label
_atom_site_fract_x
_atom_site_fract_y
_atom_site_fract_z
Ba1 0.0000 0.5000 0.2500
Zr1 0.0000 0.0000 0.0000
Zn1 0.0000 0.0000 0.5000

=====

# BaZr2Zn2 (PBE, optimized geometry)
# E_tot in eV per atom: -4.0060
# Polymorph energy (0 for the lowest one) in meV/atom: 231
# Volume in Å³ per atom: 27.84
# N(E_F) in states/eV per atom: 1.557
# ΔE_f in eV per atom: 0.307
data_BaZr2Zn2
_cell_length_a 4.9974
_cell_length_b 4.9974
_cell_length_c 11.1492
_cell_angle_alpha 90.00
_cell_angle_beta 90.00
_cell_angle_gamma 90.00
_space_group_name_H-M_alt 'I 4/m m m'
_space_group_IT_number 139
_space_group_name_Hall '-I 4 2'
loop_
_atom_site_label
_atom_site_fract_x
_atom_site_fract_y
_atom_site_fract_z
Ba1 0.0000 0.0000 0.0000
Zr1 0.0000 0.0000 0.3456
Zn1 0.0000 0.5000 0.2500

=====

# BaZr2Zn (PBE, optimized geometry)
# E_tot in eV per atom: -4.8348
# Volume in Å³ per atom: 26.41
# N(E_F) in states/eV per atom: 1.013
# ΔE_f in eV per atom: 0.238
data_BaZr2Zn
_cell_length_a 12.4778
_cell_length_b 3.4029
_cell_length_c 5.4702
_cell_angle_alpha 90.00
_cell_angle_beta 114.53
_cell_angle_gamma 90.00
_space_group_name_H-M_alt 'C 1 2/m 1'
_space_group_IT_number 12
loop_
_space_group_symop_operation_xyz
'x,y,z'
'-x,-y,-z'
'-x,y,-z'
'x,-y,z'
'x+1/2,y+1/2,z'
'-x+1/2,-y+1/2,-z'
'-x+1/2,y+1/2,-z'
'x+1/2,-y+1/2,z'
loop_
_atom_site_label
_atom_site_fract_x
_atom_site_fract_y
_atom_site_fract_z
Ba1 0.0000 0.0000 0.0000
Zr1 0.2120 0.0000 0.7006
Zn1 0.0000 0.5000 0.5000

=====

# BaZr2Zn (PBE, optimized geometry)
# E_tot in eV per atom: -4.4614
# Volume in Å³ per atom: 25.52
# N(E_F) in states/eV per atom: 1.130
# ΔE_f in eV per atom: 0.612
data_BaZr2Zn
_cell_length_a 6.3084
_cell_length_b 10.1682
_cell_length_c 3.1827
_cell_angle_alpha 90.00
_cell_angle_beta 90.00
_cell_angle_gamma 90.00
_space_group_name_H-M_alt 'C m m m'
_space_group_IT_number 65
_space_group_name_Hall '-C 2 2'
loop_
_atom_site_label
_atom_site_fract_x
_atom_site_fract_y
_atom_site_fract_z
Ba1 0.0000 0.0000 0.0000
Zr1 0.2500 0.2500 0.5000
Zn1 0.0000 0.5000 0.0000

=====

# BaZrZn2 (PBE, optimized geometry)
# E_tot in eV per atom: -3.0321
# Polymorph energy (0 for the lowest one) in meV/atom: 307
# Volume in Å³ per atom: 25.32
# N(E_F) in states/eV per atom: 1.169
# ΔE_f in eV per atom: 0.223
data_BaZrZn2
_cell_length_a 7.3993
_cell_length_b 7.3993
_cell_length_c 7.3993
_cell_angle_alpha 90.00
_cell_angle_beta 90.00
_cell_angle_gamma 90.00
_space_group_name_H-M_alt 'F m -3 m'
_space_group_IT_number 225
_space_group_name_Hall '-F 4 2 3'
loop_
_atom_site_label
_atom_site_fract_x
_atom_site_fract_y
_atom_site_fract_z
Ba1 0.0000 0.0000 0.0000
Zr1 0.0000 0.0000 0.5000
Zn1 0.2500 0.2500 0.2500

=====

# BaZr2Zn (PBE, optimized geometry)
# E_tot in eV per atom: -4.5497
# Volume in Å³ per atom: 25.45
# N(E_F) in states/eV per atom: 1.437
# ΔE_f in eV per atom: 0.524
data_BaZr2Zn
_cell_length_a 4.5432
_cell_length_b 4.5432
_cell_length_c 9.8657
_cell_angle_alpha 90.00
_cell_angle_beta 90.00
_cell_angle_gamma 90.00
_space_group_name_H-M_alt 'I 4/m m m'
_space_group_IT_number 139
_space_group_name_Hall '-I 4 2'
loop_
_atom_site_label
_atom_site_fract_x
_atom_site_fract_y
_atom_site_fract_z
Ba1 0.0000 0.0000 0.0000
Zr1 0.0000 0.5000 0.2500
Zn1 0.0000 0.0000 0.5000

=====

# BaZrZn (PBE, optimized geometry)
# E_tot in eV per atom: -3.7407
# Polymorph energy (0 for the lowest one) in meV/atom: 213
# Volume in Å³ per atom: 29.06
# N(E_F) in states/eV per atom: 1.140
# ΔE_f in eV per atom: 0.174
data_BaZrZn
_cell_length_a 3.6079
_cell_length_b 3.6079
_cell_length_c 13.3956
_cell_angle_alpha 90.00
_cell_angle_beta 90.00
_cell_angle_gamma 90.00
_space_group_name_H-M_alt 'I 4 m m'
_space_group_IT_number 107
_space_group_name_Hall 'I 4 -2'
loop_
_atom_site_label
_atom_site_fract_x
_atom_site_fract_y
_atom_site_fract_z
Ba1 0.0000 0.0000 0.0000
Zr1 0.0000 0.0000 0.7211
Zn1 0.0000 0.0000 0.3117

=====

# Ba4Zr3 (PBE, optimized geometry)
# E_tot in eV per atom: -4.1436
# Volume in Å³ per atom: 39.29
# N(E_F) in states/eV per atom: 1.827
# ΔE_f in eV per atom: 0.619
data_Ba4Zr3
_cell_length_a 6.4547
_cell_length_b 6.4547
_cell_length_c 7.6227
_cell_angle_alpha 90.00
_cell_angle_beta 90.00
_cell_angle_gamma 120.00
_space_group_name_H-M_alt 'P 6/m m m'
_space_group_IT_number 191
_space_group_name_Hall '-P 6 2'
loop_
_atom_site_label
_atom_site_fract_x
_atom_site_fract_y
_atom_site_fract_z
Ba1 0.0000 0.0000 0.2387
Ba2 0.3333 0.6667 0.5000
Zr1 0.0000 0.5000 0.0000

=====

# Ba2Zr (PBE, optimized geometry)
# E_tot in eV per atom: -3.4947
# Polymorph energy (0 for the lowest one) in meV/atom: 235
# Volume in Å³ per atom: 40.89
# N(E_F) in states/eV per atom: 1.306
# ΔE_f in eV per atom: 0.637
data_Ba2Zr
_cell_length_a 10.6955
_cell_length_b 10.6955
_cell_length_c 3.7144
_cell_angle_alpha 90.00
_cell_angle_beta 90.00
_cell_angle_gamma 120.00
_space_group_name_H-M_alt 'P -6 2 m'
_space_group_IT_number 189
_space_group_name_Hall 'P -6 -2'
loop_
_atom_site_label
_atom_site_fract_x
_atom_site_fract_y
_atom_site_fract_z
Ba1 0.0000 0.3554 0.0000
Ba2 0.0000 0.6879 0.5000
Zr1 0.0000 0.0000 0.0000
Zr2 0.3333 0.6667 0.5000

=====

# Ba2Zr (PBE, optimized geometry)
# E_tot in eV per atom: -3.6371
# Polymorph energy (0 for the lowest one) in meV/atom: 93
# Volume in Å³ per atom: 43.88
# N(E_F) in states/eV per atom: 1.656
# ΔE_f in eV per atom: 0.494
data_Ba2Zr
_cell_length_a 9.5738
_cell_length_b 9.5738
_cell_length_c 5.7442
_cell_angle_alpha 90.00
_cell_angle_beta 90.00
_cell_angle_gamma 90.00
_space_group_name_H-M_alt 'I 4/m c m'
_space_group_IT_number 140
_space_group_name_Hall '-I 4 2c'
loop_
_atom_site_label
_atom_site_fract_x
_atom_site_fract_y
_atom_site_fract_z
Ba1 0.1597 0.3403 0.0000
Zr1 0.0000 0.0000 0.2500

=====

# Ba3Zr (PBE, optimized geometry)
# E_tot in eV per atom: -3.0293
# Polymorph energy (0 for the lowest one) in meV/atom: 207
# Volume in Å³ per atom: 51.02
# N(E_F) in states/eV per atom: 1.958
# ΔE_f in eV per atom: 0.550
data_Ba3Zr
_cell_length_a 10.0333
_cell_length_b 11.1603
_cell_length_c 7.2898
_cell_angle_alpha 90.00
_cell_angle_beta 90.00
_cell_angle_gamma 90.00
_space_group_name_H-M_alt 'P n m a'
_space_group_IT_number 62
loop_
_space_group_symop_operation_xyz
'x,y,z'
'-x,-y,-z'
'-x+1/2,-y,z+1/2'
'x+1/2,y,-z+1/2'
'x+1/2,-y+1/2,-z+1/2'
'-x+1/2,y+1/2,z+1/2'
'-x,y+1/2,-z'
'x,-y+1/2,z'
loop_
_atom_site_label
_atom_site_fract_x
_atom_site_fract_y
_atom_site_fract_z
Ba1 0.0277 0.2500 0.1030
Ba2 0.1744 0.0582 0.6166
Zr1 0.1255 0.7500 0.4177

=====

# Ba4Zr5 (PBE, optimized geometry)
# E_tot in eV per atom: -5.0966
# Polymorph energy (0 for the lowest one) in meV/atom: 0
# Volume in Å³ per atom: 36.41
# N(E_F) in states/eV per atom: 1.376
# ΔE_f in eV per atom: 0.507
data_Ba4Zr5
_cell_length_a 11.5014
_cell_length_b 11.5014
_cell_length_c 4.9540
_cell_angle_alpha 90.00
_cell_angle_beta 90.00
_cell_angle_gamma 90.00
_space_group_name_H-M_alt 'I 4/m m m'
_space_group_IT_number 139
_space_group_name_Hall '-I 4 2'
loop_
_atom_site_label
_atom_site_fract_x
_atom_site_fract_y
_atom_site_fract_z
Ba1 0.0000 0.3090 0.0000
Zr1 0.0000 0.0000 0.0000
Zr2 0.1284 0.1284 0.5000

=====

# BaZr (PBE, optimized geometry)
# E_tot in eV per atom: -4.4891
# Polymorph energy (0 for the lowest one) in meV/atom: 400
# Volume in Å³ per atom: 38.12
# N(E_F) in states/eV per atom: 1.630
# ΔE_f in eV per atom: 0.746
data_BaZr
_cell_length_a 12.4156
_cell_length_b 12.4156
_cell_length_c 3.4266
_cell_angle_alpha 90.00
_cell_angle_beta 90.00
_cell_angle_gamma 120.00
_space_group_name_H-M_alt 'P 63/m'
_space_group_IT_number 176
_space_group_name_Hall '-P 6c'
loop_
_atom_site_label
_atom_site_fract_x
_atom_site_fract_y
_atom_site_fract_z
Ba1 0.0523 0.7300 0.2500
Zr1 0.1858 0.5508 0.2500

=====

# BaZr (PBE, optimized geometry)
# E_tot in eV per atom: -4.8681
# Polymorph energy (0 for the lowest one) in meV/atom: 21
# Volume in Å³ per atom: 38.12
# N(E_F) in states/eV per atom: 1.915
# ΔE_f in eV per atom: 0.367
data_BaZr
_cell_length_a 3.9691
_cell_length_b 3.9691
_cell_length_c 9.6796
_cell_angle_alpha 90.00
_cell_angle_beta 90.00
_cell_angle_gamma 90.00
_space_group_name_H-M_alt 'P 4/n m m'
_space_group_IT_number 129
loop_
_space_group_symop_operation_xyz
'x,y,z'
'-x,-y,-z'
'-y+1/2,x,z'
'y+1/2,-x,-z'
'-x+1/2,-y+1/2,z'
'x+1/2,y+1/2,-z'
'y,-x+1/2,z'
'-y,x+1/2,-z'
'x+1/2,-y,-z'
'-x+1/2,y,z'
'-y,-x,-z'
'y,x,z'
'-x,y+1/2,-z'
'x,-y+1/2,z'
'y+1/2,x+1/2,-z'
'-y+1/2,-x+1/2,z'
loop_
_atom_site_label
_atom_site_fract_x
_atom_site_fract_y
_atom_site_fract_z
Ba1 0.2500 0.2500 0.1864
Zr1 0.2500 0.2500 0.5557

=====

# Ba3Zr (PBE, optimized geometry)
# E_tot in eV per atom: -3.2362
# Polymorph energy (0 for the lowest one) in meV/atom: 0
# Volume in Å³ per atom: 49.57
# N(E_F) in states/eV per atom: 1.322
# ΔE_f in eV per atom: 0.343
data_Ba3Zr
_cell_length_a 10.0079
_cell_length_b 19.4210
_cell_length_c 4.0805
_cell_angle_alpha 90.00
_cell_angle_beta 90.00
_cell_angle_gamma 90.00
_space_group_name_H-M_alt 'C m c m'
_space_group_IT_number 63
_space_group_name_Hall '-C 2c 2'
loop_
_atom_site_label
_atom_site_fract_x
_atom_site_fract_y
_atom_site_fract_z
Ba1 0.0000 0.2299 0.2500
Ba2 0.2053 0.4097 0.7500
Zr1 0.0000 0.0536 0.7500

=====

# Ba2Zr (PBE, optimized geometry)
# E_tot in eV per atom: -3.5519
# Polymorph energy (0 for the lowest one) in meV/atom: 178
# Volume in Å³ per atom: 40.48
# N(E_F) in states/eV per atom: 1.897
# ΔE_f in eV per atom: 0.579
data_Ba2Zr
_cell_length_a 3.8192
_cell_length_b 3.8192
_cell_length_c 9.6126
_cell_angle_alpha 90.00
_cell_angle_beta 90.00
_cell_angle_gamma 120.00
_space_group_name_H-M_alt 'P -3 m 1'
_space_group_IT_number 164
_space_group_name_Hall '-P 3 2"'
loop_
_atom_site_label
_atom_site_fract_x
_atom_site_fract_y
_atom_site_fract_z
Ba1 0.3333 0.6667 0.2977
Zr1 0.0000 0.0000 0.0000

=====

# Ba3Zr (PBE, optimized geometry)
# E_tot in eV per atom: -2.9942
# Polymorph energy (0 for the lowest one) in meV/atom: 242
# Volume in Å³ per atom: 45.86
# N(E_F) in states/eV per atom: 2.641
# ΔE_f in eV per atom: 0.585
data_Ba3Zr
_cell_length_a 9.0193
_cell_length_b 9.0193
_cell_length_c 9.0193
_cell_angle_alpha 90.00
_cell_angle_beta 90.00
_cell_angle_gamma 90.00
_space_group_name_H-M_alt 'F m -3 m'
_space_group_IT_number 225
_space_group_name_Hall '-F 4 2 3'
loop_
_atom_site_label
_atom_site_fract_x
_atom_site_fract_y
_atom_site_fract_z
Ba1 0.0000 0.0000 0.0000
Ba2 0.2500 0.2500 0.2500
Zr1 0.0000 0.0000 0.5000

=====

# BaZr (PBE, optimized geometry)
# E_tot in eV per atom: -4.8891
# Polymorph energy (0 for the lowest one) in meV/atom: 0
# Volume in Å³ per atom: 38.77
# N(E_F) in states/eV per atom: 1.579
# ΔE_f in eV per atom: 0.346
data_BaZr
_cell_length_a 12.4538
_cell_length_b 12.4538
_cell_length_c 3.9993
_cell_angle_alpha 90.00
_cell_angle_beta 90.00
_cell_angle_gamma 90.00
_space_group_name_H-M_alt 'I 4/m'
_space_group_IT_number 87
_space_group_name_Hall '-I 4'
loop_
_atom_site_label
_atom_site_fract_x
_atom_site_fract_y
_atom_site_fract_z
Ba1 0.1440 0.8345 0.0000
Zr1 0.0222 0.3777 0.5000